# Pr2CdSi (PBE, relaxed)
data_Pr2CdSi
_chemical_formula_sum 'Pr2 Cd1 Si1'
_cell_length_a 7.972
_cell_length_b 7.972
_cell_length_c 7.972
_cell_angle_alpha 31.98
_cell_angle_beta 31.98
_cell_angle_gamma 31.98
_symmetry_space_group_name_H-M 'P 1'
_symmetry_Int_Tables_number 1
loop_
_symmetry_equiv_pos_as_xyz
'x,y,z'
loop_
_atom_site_label
_atom_site_fract_x
_atom_site_fract_y
_atom_site_fract_z
_atom_site_occupancy
Pr1 0.235 0.235 0.235 1
Pr2 0.765 0.765 0.765 1
Cd1 0.000 0.000 0.000 1
Si1 0.500 0.500 0.500 1
# D(E_F): 5.03 states/eV/cell
# Total DFT energy (no corrections): -0.1587 hartree per atom